[1]
This record from Alexandria describes crystalline YTl2Pt at its relaxed geometry. The functional is PBE.

The structure in POSCAR format:
```
YTl2Pt
1.0
5.663 -1.828 0.000
5.663 1.828 0.000
-2.380 0.000 4.622
Y Tl Pt
1 2 1
direct
0.000 0.000 0.000
0.223 0.223 0.723
0.777 0.777 0.277
0.500 0.500 0.500
```

SG: No. 12
Formation enthalpy at 0 K (eV/atom): -0.353

---

[2]
This record from Alexandria describes crystalline BaCuOs2 at its relaxed geometry. The functional is PBE.

The structure in POSCAR format:
```
BaCuOs2
1.0
1.449 0.837 9.984
-1.449 0.837 9.984
0.000 -1.673 9.984
Ba Cu Os
1 1 2
direct
0.000 0.000 0.000
0.500 0.500 0.500
0.234 0.234 0.234
0.766 0.766 0.766
```

SG: No. 166
Formation enthalpy at 0 K (eV/atom): 1.207
Distance to the lowest polymorph of the same formula (kJ/mol of atoms): 96.7

---

[3]
This record from Alexandria describes crystalline Th6Tl2Re at its relaxed geometry. The functional is PBE.

The structure in POSCAR format:
```
Th6Tl2Re
1.0
8.905 0.000 0.000
-4.453 7.712 0.000
0.000 0.000 3.873
Th Tl Re
6 2 1
direct
0.000 0.245 0.000
0.000 0.613 0.500
0.245 0.000 0.000
0.387 0.387 0.500
0.613 0.000 0.500
0.755 0.755 0.000
0.333 0.667 0.000
0.667 0.333 0.000
0.000 0.000 0.500
```

SG: No. 189
Formation enthalpy at 0 K (eV/atom): -0.103

---

[4]
This record from Alexandria describes crystalline KMgAsAu2 at its relaxed geometry. The functional is PBE.

The structure in POSCAR format:
```
KMgAsAu2
1.0
4.980 0.000 0.000
0.000 4.980 0.000
0.000 0.000 5.829
K Mg As Au
1 1 1 2
direct
0.000 0.000 0.000
0.000 0.000 0.500
0.500 0.500 0.000
0.000 0.500 0.500
0.500 0.000 0.500
```

SG: No. 123
Formation enthalpy at 0 K (eV/atom): 0.500

---

[5]
This record from Alexandria describes crystalline FeTcBr2 at its relaxed geometry. The functional is PBE.

The structure in POSCAR format:
```
FeTcBr2
1.0
4.218 0.000 0.000
0.000 3.436 0.000
-1.627 0.000 6.685
Fe Tc Br
1 1 2
direct
0.000 0.000 0.000
0.316 0.500 0.973
0.518 0.000 0.730
0.844 0.500 0.240
```

ΔE_f (raw) (eV per atom): 0.347
SG: No. 6
Distance to the lowest polymorph of the same formula (kJ/mol of atoms): 18.7

---

[6]
This record from Alexandria describes crystalline La2Pr3Te8 at its relaxed geometry. The functional is PBE.

The structure in POSCAR format:
```
La2Pr3Te8
1.0
7.975 -4.567 0.000
7.975 4.567 0.000
-2.549 0.000 7.357
La Pr Te
2 3 8
direct
0.245 0.245 0.162
0.755 0.755 0.838
0.239 0.761 0.500
0.500 0.500 0.000
0.761 0.239 0.500
0.123 0.123 0.415
0.135 0.621 0.085
0.379 0.865 0.915
0.380 0.380 0.578
0.620 0.620 0.422
0.621 0.135 0.085
0.865 0.379 0.915
0.877 0.877 0.585
```

ΔE_f (raw) (eV per atom): -1.337
SG: No. 12

---

[7]
This record from Alexandria describes crystalline DyPu3As4 at its relaxed geometry. The functional is PBE.

The structure in POSCAR format:
```
DyPu3As4
1.0
5.839 0.000 0.000
0.000 5.839 0.000
0.000 0.000 5.839
Dy Pu As
1 3 4
direct
0.000 0.000 0.000
0.000 0.500 0.500
0.500 0.000 0.500
0.500 0.500 0.000
0.000 0.000 0.500
0.000 0.500 0.000
0.500 0.000 0.000
0.500 0.500 0.500
```

SG: No. 221
Formation enthalpy at 0 K (eV/atom): -1.144
Distance to the lowest polymorph of the same formula (kJ/mol of atoms): 0.0

---

[8]
This record from Alexandria describes crystalline KTb2NdTe4 at its relaxed geometry. The functional is PBE.

The structure in POSCAR format:
```
KTb2NdTe4
1.0
7.845 0.000 0.000
0.000 4.428 0.000
-2.486 0.000 7.492
K Tb Nd Te
1 2 1 4
direct
0.000 0.000 0.000
0.000 0.500 0.500
0.500 0.000 0.500
0.500 0.500 0.000
0.250 0.000 0.736
0.263 0.500 0.270
0.737 0.500 0.730
0.750 0.000 0.264
```

ΔE_f (raw) (eV per atom): -1.352
SG: No. 10

---

[9]
This record from Alexandria describes crystalline Tb2Dy3Ru3 at its relaxed geometry. The functional is PBE.

The structure in POSCAR format:
```
Tb2Dy3Ru3
1.0
-1.733 2.551 10.350
1.733 -2.551 10.350
1.733 2.551 -10.350
Tb Dy Ru
2 3 3
direct
0.218 0.218 0.000
0.782 0.782 0.000
0.000 0.000 0.000
0.390 0.890 0.500
0.610 0.110 0.500
0.114 0.614 0.500
0.500 0.500 0.000
0.886 0.386 0.500
```

SG: No. 71
Formation enthalpy at 0 K (eV/atom): -0.281

---

[10]
This record from Alexandria describes crystalline AgHgIr2 at its relaxed geometry. The functional is PBE.

The structure in POSCAR format:
```
AgHgIr2
1.0
1.426 -2.428 0.000
1.426 2.428 0.000
0.000 0.000 9.723
Ag Hg Ir
1 1 2
direct
0.000 0.000 0.000
0.000 0.000 0.500
0.500 0.500 0.247
0.500 0.500 0.753
```

SG: No. 65
Formation enthalpy at 0 K (eV/atom): 0.541

---

[11]
This record from Alexandria describes crystalline ZrCuRu2 at its relaxed geometry. The functional is PBE.

The structure in POSCAR format:
```
ZrCuRu2
1.0
1.408 0.813 9.118
-1.408 0.813 9.118
0.000 -1.626 9.118
Zr Cu Ru
1 1 2
direct
0.000 0.000 0.000
0.755 0.755 0.755
0.240 0.240 0.240
0.500 0.500 0.500
```

SG: No. 160
Formation enthalpy at 0 K (eV/atom): 0.241

---

[12]
This record from Alexandria describes crystalline Ac5GePb2N at its relaxed geometry. The functional is PBE.

The structure in POSCAR format:
```
Ac5GePb2N
1.0
2.390 -10.082 0.000
2.390 10.082 0.000
0.000 0.000 13.254
Ac Ge Pb N
10 2 4 2
direct
0.001 0.999 0.500
0.145 0.855 0.723
0.170 0.830 0.095
0.214 0.786 0.404
0.458 0.542 0.736
0.542 0.458 0.236
0.786 0.214 0.904
0.830 0.170 0.595
0.855 0.145 0.223
0.999 0.001 0.000
0.296 0.704 0.742
0.704 0.296 0.242
0.378 0.622 0.032
0.391 0.609 0.407
0.609 0.391 0.907
0.622 0.378 0.532
0.052 0.948 0.161
0.948 0.052 0.661
```

ΔE_f (raw) (eV per atom): -0.715
SG: No. 36

---

[13]
This record from Alexandria describes crystalline Ho4CuRu2 at its relaxed geometry. The functional is PBE.

The structure in POSCAR format:
```
Ho4CuRu2
1.0
2.399 1.385 7.788
-2.399 1.385 7.788
0.000 -2.771 7.788
Ho Cu Ru
4 1 2
direct
0.123 0.123 0.123
0.373 0.373 0.373
0.627 0.627 0.627
0.877 0.877 0.877
0.500 0.500 0.500
0.248 0.248 0.248
0.752 0.752 0.752
```

SG: No. 166
Formation enthalpy at 0 K (eV/atom): -0.346

---

[14]
This record from Alexandria describes crystalline H3RhF at its relaxed geometry. The functional is PBE.

The structure in POSCAR format:
```
H3RhF
1.0
3.402 0.000 0.000
0.000 3.402 0.000
0.000 0.000 3.402
H Rh F
3 1 1
direct
0.000 0.000 0.500
0.000 0.500 0.000
0.500 0.000 0.000
0.000 0.000 0.000
0.500 0.500 0.500
```

SG: No. 221
Distance to the lowest polymorph of the same formula (kJ/mol of atoms): 0.0

---

[15]
This record from Alexandria describes crystalline MnPtRhPb at its relaxed geometry. The functional is PBE.

The structure in POSCAR format:
```
MnPtRhPb
1.0
0.000 3.242 3.242
3.242 0.000 3.242
3.242 3.242 0.000
Mn Pt Rh Pb
1 1 1 1
direct
0.000 0.000 0.000
0.250 0.250 0.250
0.750 0.750 0.750
0.500 0.500 0.500
```

SG: No. 216
Formation enthalpy at 0 K (eV/atom): -0.053

---

[16]
This record from Alexandria describes crystalline AgSb at its relaxed geometry. The functional is PBE.

The structure in POSCAR format:
```
AgSb
1.0
5.254 0.000 0.000
-2.627 4.550 0.000
0.000 0.000 8.342
Ag Sb
4 4
direct
0.333 0.667 0.083
0.333 0.667 0.417
0.667 0.333 0.583
0.667 0.333 0.917
0.000 0.000 0.250
0.000 0.000 0.750
0.333 0.667 0.750
0.667 0.333 0.250
```

ΔE_f (raw) (eV per atom): 0.308
SG: No. 194
Distance to the lowest polymorph of the same formula (kJ/mol of atoms): 22.1

---

[17]
This record from Alexandria describes crystalline YFeRu2 at its relaxed geometry. The functional is PBE.

The structure in POSCAR format:
```
YFeRu2
1.0
4.981 -1.546 0.000
4.981 1.546 0.000
-1.641 0.000 4.348
Y Fe Ru
1 1 2
direct
0.000 0.000 0.000
0.773 0.773 0.265
0.233 0.233 0.667
0.500 0.500 0.512
```

SG: No. 8
Formation enthalpy at 0 K (eV/atom): 0.179
Distance to the lowest polymorph of the same formula (kJ/mol of atoms): 10.4

---

[18]
This record from Alexandria describes crystalline GaHg2Bi at its relaxed geometry. The functional is PBE.

The structure in POSCAR format:
```
GaHg2Bi
1.0
3.486 0.000 0.000
0.000 3.486 0.000
0.000 0.000 8.469
Ga Hg Bi
1 2 1
direct
0.000 0.000 0.000
0.500 0.500 0.217
0.500 0.500 0.783
0.000 0.000 0.500
```

SG: No. 123
Formation enthalpy at 0 K (eV/atom): 0.091
Distance to the lowest polymorph of the same formula (kJ/mol of atoms): 0.7

---

[19]
This record from Alexandria describes crystalline Ba2BeFe at its relaxed geometry. The functional is PBE.

The structure in POSCAR format:
```
Ba2BeFe
1.0
-2.482 2.482 4.530
2.482 -2.482 4.530
2.482 2.482 -4.530
Ba Be Fe
2 1 1
direct
0.000 0.000 0.000
0.750 0.250 0.500
0.250 0.750 0.500
0.500 0.500 0.000
```

SG: No. 119
Formation enthalpy at 0 K (eV/atom): 0.915

---

[20]
This record from Alexandria describes crystalline LaDy2Ho at its relaxed geometry. The functional is PBE.

The structure in POSCAR format:
```
LaDy2Ho
1.0
5.074 0.000 0.000
0.000 5.074 0.000
0.000 0.000 5.097
La Dy Ho
1 2 1
direct
0.000 0.000 0.000
0.000 0.500 0.500
0.500 0.000 0.500
0.500 0.500 0.000
```

SG: No. 123
Formation enthalpy at 0 K (eV/atom): 0.032
Distance to the lowest polymorph of the same formula (kJ/mol of atoms): 2.3

---

[21]
This record from Alexandria describes crystalline Tc2AgMo at its relaxed geometry. The functional is PBE.

The structure in POSCAR format:
```
Tc2AgMo
1.0
-1.968 1.968 3.972
1.968 -1.968 3.972
1.968 1.968 -3.972
Tc Ag Mo
2 1 1
direct
0.000 0.000 0.000
0.750 0.250 0.500
0.250 0.750 0.500
0.500 0.500 0.000
```

SG: No. 119
Formation enthalpy at 0 K (eV/atom): 0.432
Distance to the lowest polymorph of the same formula (kJ/mol of atoms): 15.6

---

[22]
This record from Alexandria describes crystalline AcTbI at its relaxed geometry. The functional is PBE.

The structure in POSCAR format:
```
AcTbI
1.0
5.591 0.000 0.000
-2.796 4.842 0.000
0.000 0.000 4.003
Ac Tb I
1 1 1
direct
0.000 0.000 0.000
0.667 0.333 0.500
0.333 0.667 0.500
```

ΔE_f (raw) (eV per atom): -0.252
SG: No. 187
Distance to the lowest polymorph of the same formula (kJ/mol of atoms): 19.2

---

[23]
This record from Alexandria describes crystalline Ho3ScIr2 at its relaxed geometry. The functional is PBE.

The structure in POSCAR format:
```
Ho3ScIr2
1.0
-2.069 2.283 7.306
2.069 -2.283 7.306
2.069 2.283 -7.306
Ho Sc Ir
3 1 2
direct
0.000 0.000 0.000
0.183 0.683 0.500
0.817 0.317 0.500
0.500 0.500 0.000
0.374 0.874 0.500
0.626 0.126 0.500
```

SG: No. 71
Formation enthalpy at 0 K (eV/atom): -0.655
Distance to the lowest polymorph of the same formula (kJ/mol of atoms): 1.2

---

[24]
This record from Alexandria describes crystalline MnSb2Br8 at its relaxed geometry. The functional is PBE.

The structure in POSCAR format:
```
MnSb2Br8
1.0
9.974 -1.917 0.000
9.974 1.917 0.000
-0.422 0.000 10.362
Mn Sb Br
1 2 8
direct
0.000 0.000 0.000
0.350 0.350 0.742
0.650 0.650 0.258
0.097 0.097 0.430
0.136 0.136 0.037
0.258 0.258 0.296
0.496 0.496 0.179
0.504 0.504 0.821
0.742 0.742 0.704
0.864 0.864 0.963
0.903 0.903 0.570
```

ΔE_f (raw) (eV per atom): -0.593
SG: No. 12
Distance to the lowest polymorph of the same formula (kJ/mol of atoms): 0.0

---

[25]
This record from Alexandria describes crystalline Er5Cd2Pb at its relaxed geometry. The functional is PBE.

The structure in POSCAR format:
```
Er5Cd2Pb
1.0
-4.130 4.130 6.513
4.130 -4.130 6.513
4.130 4.130 -6.513
Er Cd Pb
10 4 2
direct
0.000 0.000 0.000
0.003 0.503 0.807
0.195 0.003 0.500
0.305 0.805 0.807
0.497 0.305 0.500
0.500 0.500 0.000
0.503 0.695 0.500
0.695 0.195 0.193
0.805 0.997 0.500
0.997 0.497 0.193
0.138 0.362 0.500
0.362 0.862 0.224
0.638 0.138 0.776
0.862 0.638 0.500
0.250 0.250 0.000
0.750 0.750 0.000
```

SG: No. 140
Formation enthalpy at 0 K (eV/atom): -0.286

---

[26]
This record from Alexandria describes crystalline Tb3YHg5 at its relaxed geometry. The functional is PBE.

The structure in POSCAR format:
```
Tb3YHg5
1.0
9.127 0.000 0.000
-4.563 7.904 0.000
0.000 0.000 6.520
Tb Y Hg
6 2 10
direct
0.000 0.370 0.250
0.000 0.630 0.750
0.370 0.000 0.250
0.370 0.370 0.750
0.630 0.000 0.750
0.630 0.630 0.250
0.000 0.000 0.000
0.000 0.000 0.500
0.000 0.298 0.750
0.000 0.702 0.250
0.298 0.000 0.750
0.298 0.298 0.250
0.333 0.667 0.000
0.333 0.667 0.500
0.667 0.333 0.000
0.667 0.333 0.500
0.702 0.000 0.250
0.702 0.702 0.750
```

SG: No. 193
Formation enthalpy at 0 K (eV/atom): -0.416

---

| no. | size of the total moment (μB per formula unit) |
| --- | --- |
| 1 | 0.000 |
| 2 | 0.000 |
| 3 | 0.000 |
| 4 | 0.826 |
| 5 | 0.001 |
| 6 | 0.000 |
| 7 | 14.877 |
| 8 | 0.000 |
| 9 | 0.000 |
| 10 | 0.003 |
| 11 | 0.000 |
| 12 | 0.000 |
| 13 | 0.000 |
| 14 | 0.916 |
| 15 | 4.231 |
| 16 | 0.000 |
| 17 | 2.989 |
| 18 | 0.000 |
| 19 | 2.625 |
| 20 | 0.001 |
| 21 | 0.000 |
| 22 | 0.000 |
| 23 | 0.000 |
| 24 | 5.000 |
| 25 | 0.000 |
| 26 | 0.000 |